Record 1
{"formula": "TaZnPt2", "functional": "meta-GGA SCAN", "state": "single point on PBEsol structure", "cell": [[-2.7274, 3.4828, -0.3547], [-3.8464, -0.4064, -2.1760], [-3.8319, 0.0545, 2.2378]], "species": ["Ta", "Pt", "Zn", "Pt"], "fractional_positions": [[0.0000, 0.0000, 0.0000], [0.2500, 0.2500, 0.2500], [0.5000, 0.5000, 0.5000], [0.7500, 0.7500, 0.7500]], "formation_energy_ev_per_atom": -0.59, "total_magnetization_mub_per_cell": 0.0}


Record 2
{"formula": "TaZnPt2", "functional": "meta-GGA SCAN", "state": "single point on PBEsol structure", "cell": [[-0.4646, 1.8716, -2.0388], [-3.4938, -1.8126, -0.8678], [-2.5545, 3.2269, 3.5444]], "species": ["Ta", "Pt", "Pt", "Zn"], "fractional_positions": [[0.0000, 0.0000, 0.4836], [0.0000, 0.0000, 0.9625], [0.5000, 0.5000, 0.2749], [0.5000, 0.5000, 0.7790]], "formation_energy_ev_per_atom": -0.53, "total_magnetization_mub_per_cell": 0.0}


Record 3
{"formula": "Ta2ZnPt", "functional": "meta-GGA SCAN", "state": "single point on PBEsol structure", "cell": [[-1.2967, -2.4942, -0.0483], [2.2543, -1.1895, 1.1867], [-3.0650, 1.4524, 7.2784]], "species": ["Ta", "Ta", "Zn", "Pt"], "fractional_positions": [[0.0000, 0.0000, 0.0180], [0.5000, 0.5000, 0.7352], [0.0000, 0.0000, 0.4845], [0.5000, 0.5000, 0.2623]], "formation_energy_ev_per_atom": -0.38, "total_magnetization_mub_per_cell": 0.0}


Record 4
{"formula": "TaZnPt2", "functional": "meta-GGA SCAN", "state": "single point on PBEsol structure", "cell": [[2.7976, 0.0000, 0.0000], [0.0000, 3.8629, 0.0000], [0.0000, 0.0000, 5.5876]], "species": ["Pt", "Pt", "Ta", "Zn"], "fractional_positions": [[0.0000, 0.0000, 0.7494], [0.0000, 0.0000, 0.2507], [0.5000, 0.5000, 0.0000], [0.5000, 0.5000, 0.5000]], "formation_energy_ev_per_atom": -0.67, "total_magnetization_mub_per_cell": 0.0}


Record 5
{"formula": "TaZn2Pt", "functional": "meta-GGA SCAN", "state": "single point on PBEsol structure", "cell": [[2.8418, 0.0000, 0.0000], [0.0000, 2.8418, 0.0000], [0.0000, 0.0000, 7.3047]], "species": ["Ta", "Zn", "Zn", "Pt"], "fractional_positions": [[0.5000, 0.5000, 0.7537], [0.0000, 0.0000, 0.0135], [0.5000, 0.5000, 0.2455], [0.0000, 0.0000, 0.4873]], "formation_energy_ev_per_atom": -0.39, "total_magnetization_mub_per_cell": 0.0}


Record 6
{"formula": "Zr2TaPt", "functional": "meta-GGA SCAN", "state": "single point on PBEsol structure", "cell": [[3.3451, 0.0000, 0.0000], [0.0000, 3.3451, 0.0000], [0.0000, 0.0000, 6.6676]], "species": ["Ta", "Zr", "Zr", "Pt"], "fractional_positions": [[0.5000, 0.5000, 0.5000], [0.0000, 0.0000, 0.2444], [0.0000, 0.0000, 0.7556], [0.5000, 0.5000, 0.0000]], "formation_energy_ev_per_atom": -0.60, "total_magnetization_mub_per_cell": 0.0}


Record 7
{"formula": "TbPt3", "functional": "meta-GGA SCAN", "state": "single point on PBEsol structure", "cell": [[4.0646, 0.0000, 0.0000], [0.0000, 4.0646, 0.0000], [0.0000, 0.0000, 4.0646]], "species": ["Pt", "Tb", "Pt", "Pt"], "fractional_positions": [[0.5000, 0.5000, 0.0000], [0.0000, 0.0000, 0.0000], [0.5000, 0.0000, 0.5000], [0.0000, 0.5000, 0.5000]], "formation_energy_ev_per_atom": -1.12, "total_magnetization_mub_per_cell": 0.0}


Record 8
{"formula": "Tb5Pt3", "functional": "meta-GGA SCAN", "state": "single point on PBEsol structure", "cell": [[-4.6959, 3.1798, 2.2304], [-4.4494, -1.7699, -6.8445], [-0.3072, -5.0929, 6.6140]], "species": ["Tb", "Tb", "Tb", "Pt", "Pt", "Pt", "Pt", "Tb", "Tb", "Tb", "Tb", "Pt", "Tb", "Pt", "Tb", "Tb"], "fractional_positions": [[0.2500, 0.2462, 0.0000], [0.2500, 0.7538, 0.7538], [0.7500, 0.2462, 0.2462], [0.7500, 0.0000, 0.3945], [0.2500, 0.3945, 0.3945], [0.7500, 0.3945, 0.0000], [0.2500, 0.6055, 0.0000], [0.5000, 0.6667, 0.3333], [0.2500, 0.0000, 0.2462], [0.0000, 0.3333, 0.6667], [0.0000, 0.6667, 0.3333], [0.7500, 0.6055, 0.6055], [0.5000, 0.3333, 0.6667], [0.2500, 0.0000, 0.6055], [0.7500, 0.7538, 0.0000], [0.7500, 0.0000, 0.7538]], "formation_energy_ev_per_atom": -1.20, "total_magnetization_mub_per_cell": 0.0}


Summary of total DFT energy (no corrections) in eV per atom
-55.714 -55.653 -54.595 -55.794 -41.344 -50.146 -65.451 -56.746
(order as listed above)